Entry 1:
Ac5LaPm6 after structural relaxation, computed with PBE-GGA.

```
Ac5LaPm6
1.0
-2.721 5.239 8.168
2.721 -5.239 8.168
2.721 5.239 -8.168
Ac La Pm
5 1 6
Cartesian
0.000 0.000 0.000
2.721 0.000 2.725
0.000 0.000 5.480
0.000 0.000 10.856
0.000 5.239 5.442
0.000 5.239 0.000
2.721 -2.604 5.460
2.721 2.648 0.000
0.000 2.635 2.708
2.721 2.604 5.460
0.000 2.591 8.168
0.000 7.843 2.708
```

Energy relative to the elements ... 31 meV per atom
Uncorrected energy ... -53.60 eV/cell
ρ ... 7.6 g/cm³
Magnetization ... 0.00 μB per cell

---

Entry 2:
SrCaInHg2 after structural relaxation, computed with PBE-GGA.

```
SrCaInHg2
1.0
5.024 0.000 0.000
-2.512 4.351 0.000
0.000 0.000 7.476
Sr Ca In Hg
1 1 1 2
Cartesian
0.000 0.000 0.000
2.512 1.450 3.093
0.000 2.901 5.191
0.000 2.901 1.787
2.512 1.450 6.078
```

Energy relative to the elements ... -354 meV per atom
Uncorrected energy ... -8.80 eV/cell
ρ ... 6.5 g/cm³
Magnetization ... 0.00 μB per cell

---

Entry 3:
NpFe4As12 after structural relaxation, computed with PBE-GGA.

```
NpFe4As12
1.0
-4.155 4.155 4.155
4.155 -4.155 4.155
4.155 4.155 -4.155
Np Fe As
1 4 12
Cartesian
0.000 0.000 0.000
2.077 2.077 -2.077
2.077 -2.077 2.077
-2.077 2.077 2.077
2.077 2.077 2.077
2.831 1.297 0.000
5.479 1.297 0.000
4.155 -1.324 2.858
2.858 4.155 -1.324
1.297 0.000 2.831
0.000 2.831 1.297
4.155 1.324 2.858
2.858 4.155 1.324
1.297 0.000 5.479
0.000 5.479 1.297
-1.324 2.858 4.155
1.324 2.858 4.155
```

Energy relative to the elements ... -323 meV per atom
Uncorrected energy ... -108.08 eV/cell
ρ ... 7.9 g/cm³
Magnetization ... 2.97 μB per cell

---

Entry 4:
Rb2GePbCl6 after structural relaxation, computed with PBE-GGA.

```
Rb2GePbCl6
1.0
7.697 0.000 0.000
3.752 6.721 0.000
3.781 2.287 6.372
Rb Ge Pb Cl
2 1 1 6
Cartesian
0.000 0.000 0.000
7.352 4.642 3.010
3.700 2.388 1.425
11.243 6.869 4.657
3.886 4.613 2.719
6.092 5.770 6.000
8.868 7.690 3.529
7.229 6.604 0.203
5.849 2.822 0.216
8.944 1.723 2.915
```

Uncorrected energy ... -35.26 eV/cell
ρ ... 3.3 g/cm³
Magnetization ... 0.00 μB per cell

---

Entry 5:
Pu2Co3Ni after structural relaxation, computed with PBE-GGA.

```
Pu2Co3Ni
1.0
2.509 1.449 4.100
-2.509 1.449 4.100
0.000 -2.897 4.100
Pu Co Ni
2 3 1
Cartesian
0.000 0.000 1.535
0.000 0.000 10.765
-1.255 -0.724 4.100
-1.255 0.724 8.200
0.000 1.449 4.100
0.000 0.000 6.150
```

Energy relative to the elements ... -174 meV per atom
Uncorrected energy ... -56.81 eV/cell
ρ ... 13.4 g/cm³
Magnetization ... 7.25 μB per cell

---

Entry 6:
ScAl3I after structural relaxation, computed with PBE-GGA.

```
ScAl3I
1.0
5.364 0.000 0.000
0.000 5.364 0.000
0.000 0.000 5.364
Sc Al I
1 3 1
Cartesian
0.000 0.000 0.000
0.000 2.682 2.682
2.682 0.000 2.682
2.682 2.682 0.000
2.682 2.682 2.682
```

Uncorrected energy ... -13.70 eV/cell
ρ ... 2.7 g/cm³
Relative energy among the computed polymorphs ... 276.1 meV per atom
Magnetization ... 0.00 μB per cell

---

Entry 7:
K2YCuBr6 after structural relaxation, computed with PBE-GGA.

```
K2YCuBr6
1.0
0.000 5.470 5.470
5.470 0.000 5.470
5.470 5.470 0.000
K Y Cu Br
2 1 1 6
Cartesian
2.735 2.735 2.735
8.205 8.205 8.205
0.000 0.000 0.000
5.470 5.470 5.470
5.470 5.470 2.794
5.470 2.794 5.470
8.146 5.470 5.470
2.794 5.470 5.470
5.470 8.146 5.470
5.470 5.470 8.146
```

Uncorrected energy ... -37.20 eV/cell
ρ ... 3.6 g/cm³
Relative energy among the computed polymorphs ... 41.1 meV per atom
Magnetization ... 0.02 μB per cell

---

Entry 8:
Nd7Dy12Tm after structural relaxation, computed with PBE-GGA.

```
Nd7Dy12Tm
1.0
5.998 3.463 5.423
-5.998 3.463 5.423
0.000 -6.926 5.423
Nd Dy Tm
7 12 1
Cartesian
0.000 0.000 0.000
-1.903 -0.592 4.693
1.465 -1.352 4.693
0.439 1.945 4.693
-0.439 -1.945 11.577
-1.465 1.352 11.577
1.903 0.592 11.577
-5.288 0.548 6.790
-3.118 -4.306 9.480
-0.758 -3.175 7.229
-3.129 -0.931 9.041
-2.370 2.244 7.229
2.170 -4.853 6.790
-2.170 4.853 9.480
2.370 -2.244 9.041
3.129 0.931 7.229
0.758 3.175 9.041
3.118 4.306 6.790
5.288 -0.548 9.480
0.000 0.000 8.135
```

Energy relative to the elements ... 230 meV per atom
Uncorrected energy ... -88.46 eV/cell
ρ ... 7.7 g/cm³
Relative energy among the computed polymorphs ... 0.0 meV per atom
Magnetization ... 0.00 μB per cell

---

Entry 9:
Ce3TmCl after structural relaxation, computed with PBE-GGA.

```
Ce3TmCl
1.0
5.334 0.000 0.000
0.000 5.334 0.000
0.000 0.000 5.334
Ce Tm Cl
3 1 1
Cartesian
0.000 0.000 2.667
0.000 2.667 0.000
2.667 0.000 0.000
2.667 2.667 2.667
0.000 0.000 0.000
```

Uncorrected energy ... -25.86 eV/cell
ρ ... 6.8 g/cm³
Magnetization ... 1.85 μB per cell

---

Entry 10:
Ba2Sb2O5 after structural relaxation, computed with PBE-GGA.

```
Ba2Sb2O5
1.0
6.512 0.000 0.000
0.000 2.004 7.387
0.000 -2.004 7.387
Ba Sb O
2 2 5
Cartesian
0.000 0.000 0.000
3.256 0.000 5.237
0.000 0.000 11.064
3.256 0.000 8.993
1.447 0.000 12.386
1.792 0.000 7.710
3.256 0.000 2.293
4.720 0.000 7.710
5.065 0.000 12.386
```

Uncorrected energy ... -54.49 eV/cell
ρ ... 5.2 g/cm³
Relative energy among the computed polymorphs ... 144.9 meV per atom
Magnetization ... 0.00 μB per cell

---

Entry 11:
RbHg2AuBr8 after structural relaxation, computed with PBE-GGA.

```
RbHg2AuBr8
1.0
7.763 0.000 0.000
3.145 7.141 0.000
0.338 1.637 9.221
Rb Hg Au Br
1 2 1 8
Cartesian
0.000 0.000 0.000
5.635 4.617 6.595
5.611 4.162 2.626
0.169 0.819 4.611
2.616 6.044 3.205
2.902 6.543 6.608
4.623 2.653 4.340
4.948 3.331 8.604
6.298 5.448 0.617
6.623 6.126 4.882
8.344 2.235 2.613
8.630 2.735 6.016
```

Uncorrected energy ... -25.01 eV/cell
ρ ... 4.3 g/cm³
Magnetization ... 0.00 μB per cell

---

Entry 12:
Ba5TbS6 after structural relaxation, computed with PBE-GGA.

```
Ba5TbS6
1.0
3.852 -6.661 0.000
3.852 6.661 0.000
-2.575 0.000 7.235
Ba Tb S
5 1 6
Cartesian
0.000 0.000 0.000
2.565 4.449 3.617
3.852 2.261 0.000
3.852 -2.261 0.000
2.565 -4.449 3.617
2.565 0.000 3.617
1.395 2.026 1.946
0.231 0.000 5.304
1.395 -2.026 1.946
3.735 2.026 5.289
4.899 0.000 1.931
3.735 -2.026 5.289
```

Uncorrected energy ... -63.43 eV/cell
ρ ... 4.6 g/cm³
Magnetization ... 0.00 μB per cell

---

Entry 13:
TaNbPdSe2 after structural relaxation, computed with PBE-GGA.

```
TaNbPdSe2
1.0
4.895 0.000 0.000
0.000 4.895 0.000
0.000 0.000 5.105
Ta Nb Pd Se
1 1 1 2
Cartesian
0.000 0.000 0.000
0.000 0.000 2.553
2.448 2.448 2.553
0.000 2.448 0.000
2.448 0.000 0.000
```

Uncorrected energy ... -29.91 eV/cell
ρ ... 7.3 g/cm³
Magnetization ... 1.49 μB per cell

---

Entry 14:
CoTc2Hg after structural relaxation, computed with PBE-GGA.

```
CoTc2Hg
1.0
1.388 0.801 9.074
-1.388 0.801 9.074
0.000 -1.602 9.074
Co Tc Hg
1 2 1
Cartesian
0.000 0.000 0.000
0.000 0.000 7.074
0.000 0.000 20.149
0.000 0.000 13.611
```

Energy relative to the elements ... 478 meV per atom
Uncorrected energy ... -26.23 eV/cell
ρ ... 12.5 g/cm³
Magnetization ... 0.84 μB per cell

---

Entry 15:
KNa2CuF8 after structural relaxation, computed with PBE-GGA.

```
KNa2CuF8
1.0
4.683 0.000 0.000
0.532 5.195 0.000
2.249 -0.035 6.806
K Na Cu F
1 2 1 8
Cartesian
0.000 0.000 0.000
2.639 2.458 2.078
4.825 2.702 4.727
1.125 -0.017 3.403
2.109 1.298 4.167
2.753 3.799 4.145
3.858 2.496 6.782
2.144 0.033 1.856
5.321 5.127 4.950
3.607 2.664 0.024
4.711 1.362 2.661
5.355 3.863 2.638
```

Uncorrected energy ... -45.51 eV/cell
ρ ... 3.0 g/cm³
Magnetization ... 1.98 μB per cell

---

Entry 16:
CaPr2YTe4 after structural relaxation, computed with PBE-GGA.

```
CaPr2YTe4
1.0
7.716 0.000 0.000
0.000 4.429 0.000
-2.528 0.000 7.435
Ca Pr Y Te
1 2 1 4
Cartesian
0.000 0.000 0.000
-1.264 2.215 3.718
2.594 0.000 3.718
3.858 2.215 0.000
1.312 2.215 1.776
0.041 0.000 5.672
5.147 0.000 1.763
3.876 2.215 5.659
```

Uncorrected energy ... -42.19 eV/cell
ρ ... 6.0 g/cm³
Magnetization ... 0.00 μB per cell

---

Entry 17:
LuPt4Pb after structural relaxation, computed with PBE-GGA.

```
LuPt4Pb
1.0
0.000 3.838 3.838
3.838 0.000 3.838
3.838 3.838 0.000
Lu Pt Pb
1 4 1
Cartesian
0.000 0.000 0.000
4.800 2.877 2.877
2.877 4.800 2.877
2.877 2.877 4.800
4.800 4.800 4.800
1.919 1.919 1.919
```

Energy relative to the elements ... -683 meV per atom
Uncorrected energy ... -36.49 eV/cell
ρ ... 17.1 g/cm³
Magnetization ... 0.00 μB per cell

---

Entry 18:
DyHo2Tm after structural relaxation, computed with PBE-GGA.

```
DyHo2Tm
1.0
3.511 0.000 0.000
0.000 3.511 0.000
0.000 0.000 9.938
Dy Ho Tm
1 2 1
Cartesian
0.000 0.000 0.000
1.755 1.755 2.502
1.755 1.755 7.436
0.000 0.000 4.969
```

Energy relative to the elements ... 22 meV per atom
Uncorrected energy ... -18.14 eV/cell
ρ ... 9.0 g/cm³
Relative energy among the computed polymorphs ... 21.6 meV per atom
Magnetization ... 0.00 μB per cell

---

Entry 19:
AsP2PtO after structural relaxation, computed with PBE-GGA.

```
AsP2PtO
1.0
4.822 0.000 0.000
0.000 4.822 0.000
0.000 0.000 3.780
As P Pt O
1 2 1 1
Cartesian
0.000 0.000 0.000
0.000 2.411 1.890
2.411 0.000 1.890
2.411 2.411 1.890
2.411 2.411 0.000
```

Uncorrected energy ... -24.12 eV/cell
ρ ... 6.6 g/cm³
Relative energy among the computed polymorphs ... 22.7 meV per atom
Magnetization ... 0.68 μB per cell

---

Entry 20:
Ho6Co2Sb after structural relaxation, computed with PBE-GGA.

```
Ho6Co2Sb
1.0
-4.666 4.781 4.993
4.666 -4.781 4.993
4.666 4.781 -4.993
Ho Co Sb
12 4 2
Cartesian
4.666 2.804 -2.638
2.652 1.753 0.000
6.680 1.753 0.000
1.718 4.781 -1.751
2.948 0.000 3.242
0.000 1.976 2.355
4.666 2.804 2.638
1.718 4.781 1.751
2.948 0.000 6.743
-2.014 3.027 4.993
2.014 3.027 4.993
0.000 1.976 7.630
4.666 0.000 1.123
0.000 3.274 0.000
0.000 6.287 0.000
0.000 4.781 3.870
0.000 0.000 0.000
0.000 0.000 4.993
```

Uncorrected energy ... -98.50 eV/cell
ρ ... 9.2 g/cm³
Magnetization ... 0.00 μB per cell